(1)
A plane-wave DFT calculation with PBE was carried out for La3Y2HoAs6 after structural relaxation.

The calculation puts the uncorrected energy at -6.57 eV/atom. As for the formation energy: -1551.8 meV per atom. The total magnetic moment comes out at 0.0 μB/cell.

a = 7.3603 Å, b = 12.7472 Å, c = 7.3471 Å
α = 90.00°, β = 109.50°, γ = 90.00°
With the nearest neighbours (Å) after each atom.
Space group C2/m (No. 12)
Symmetry-distinct sites (fractional):
La1 0.0000 0.0000 0.0000 (multiplicity 2)  6 As 3.05-3.06
La2 0.0000 0.3332 0.0000 (multiplicity 4)  6 As 3.05-3.06
Y1 0.0000 0.1666 0.5000 (multiplicity 4)  6 As 2.95
Ho1 0.0000 0.5000 0.5000 (multiplicity 2)  6 As 2.94-2.95
As1 0.2450 0.3338 0.7367 (multiplicity 8)  1 Ho 2.94, 2 Y 2.95, 3 La 3.05-3.06
As2 0.2466 0.0000 0.7369 (multiplicity 4)  1 Ho 2.95, 2 Y 2.95, 3 La 3.05-3.06

---

(2)
A plane-wave DFT calculation with PBE was carried out for La2YHoAs4 after structural relaxation.

The calculation puts the uncorrected energy at -6.49 eV/atom. As for the formation energy: -1548.8 meV per atom. The total magnetic moment comes out at 0.0 μB/cell.

a = 7.3418 Å, b = 4.2488 Å, c = 7.3550 Å
α = 90.00°, β = 109.49°, γ = 90.00°
With the nearest neighbours (Å) after each atom.
Space group P2/m (No. 10)
Symmetry-distinct sites (fractional):
La1 0.0000 0.0000 0.0000 (multiplicity 1)  6 As 3.05
La2 0.0000 0.5000 0.5000 (multiplicity 1)  6 As 3.06
Y1 0.5000 0.0000 0.5000 (multiplicity 1)  6 As 2.95
Ho1 0.5000 0.5000 0.0000 (multiplicity 1)  6 As 2.94
As1 0.2634 0.5000 0.2536 (multiplicity 2)  1 Ho 2.94, 2 Y 2.95, 3 La 3.05-3.06
As2 0.2639 0.0000 0.7554 (multiplicity 2)  2 Ho 2.94, 1 Y 2.95, 3 La 3.05-3.06

---

(3)
A plane-wave DFT calculation with PBE was carried out for LaYHo2As4 after structural relaxation.

The calculation puts the uncorrected energy at -6.42 eV/atom. As for the formation energy: -1531.7 meV per atom. The total magnetic moment comes out at 0.0 μB/cell.

a = 7.2328 Å, b = 4.1803 Å, c = 7.2331 Å
α = 90.00°, β = 109.44°, γ = 90.00°
With the nearest neighbours (Å) after each atom.
Space group P2/m (No. 10)
Symmetry-distinct sites (fractional):
La1 0.0000 0.0000 0.0000 (multiplicity 1)  6 As 3.01
Y1 0.0000 0.5000 0.5000 (multiplicity 1)  6 As 2.96
Ho1 0.5000 0.0000 0.5000 (multiplicity 1)  6 As 2.90
Ho2 0.5000 0.5000 0.0000 (multiplicity 1)  6 As 2.95
As1 0.2561 0.0000 0.7465 (multiplicity 2)  3 Ho 2.90-2.95, 2 Y 2.96, 1 La 3.01
As2 0.2605 0.5000 0.2593 (multiplicity 2)  3 Ho 2.90-2.95, 1 Y 2.96, 2 La 3.01

---

(4)
A plane-wave DFT calculation with PBE was carried out for LiHoAs after structural relaxation.

The calculation puts the uncorrected energy at -4.32 eV/atom. As for the formation energy: -601.4 meV per atom. The total magnetic moment comes out at 0.5 μB/cell. As for the offset from the most stable computed form: 0.342 eV/atom.

a = 3.9122 Å, b = 3.9122 Å, c = 8.1487 Å
α = 90.00°, β = 90.00°, γ = 90.00°
With the nearest neighbours (Å) after each atom.
Space group I4mm (No. 107)
Symmetry-distinct sites (fractional):
Li1 0.0000 0.0000 0.0000 (multiplicity 2)  1 As 2.49, 1 Ho 2.77
Ho1 0.0000 0.0000 0.3403 (multiplicity 2)  5 Li 2.77-3.06, 5 As 2.89-3.01
As1 0.0000 0.0000 0.6944 (multiplicity 2)  1 Li 2.49

---

(5)
A plane-wave DFT calculation with PBE was carried out for Li3HoAs2 after structural relaxation.

The calculation puts the uncorrected energy at -4.16 eV/atom. As for the formation energy: -888.3 meV per atom. The total magnetic moment comes out at 0.0 μB/cell.

a = 16.2453 Å, b = 4.0056 Å, c = 10.0915 Å
α = 90.00°, β = 101.17°, γ = 90.00°
With the nearest neighbours (Å) after each atom.
Space group C2/m (No. 12)
Symmetry-distinct sites (fractional):
Li1 0.0000 0.0000 0.0000 (multiplicity 2)  2 As 2.32
Li2 0.0488 0.5000 0.8395 (multiplicity 4)  5 Li 2.57-2.79, 4 As 2.79-2.82
Li3 0.1226 0.0000 0.7327 (multiplicity 4)  4 As 2.54-2.67, 3 Li 2.67-2.80
Li4 0.1827 0.0000 0.4908 (multiplicity 4)  4 As 2.56-2.66, 1 Li 2.80
Li5 0.2094 0.5000 0.9088 (multiplicity 4)  4 As 2.41-2.57, 1 Li 2.57
Ho1 0.0000 0.5000 0.5000 (multiplicity 2)  6 As 2.95-3.24
Ho2 0.1655 0.5000 0.2197 (multiplicity 4)  6 As 2.97-3.11, 2 Li 3.29
As1 0.0451 0.0000 0.3116 (multiplicity 4)  4 Li 2.59-2.79
As2 0.1423 0.0000 0.9983 (multiplicity 4)  4 Li 2.32-2.53
As3 0.1952 0.5000 0.6512 (multiplicity 4)  6 Li 2.54-2.66

---

(6)
A plane-wave DFT calculation with PBE was carried out for LiHoAs after structural relaxation.

The calculation puts the uncorrected energy at -4.66 eV/atom. As for the formation energy: -943.7 meV per atom. The total magnetic moment comes out at 0.0 μB/cell. As for the offset from the most stable computed form: 0.000 eV/atom.

a = 4.1282 Å, b = 4.1282 Å, c = 3.9338 Å
α = 90.00°, β = 90.00°, γ = 120.00°
With the nearest neighbours (Å) after each atom.
Space group P-6m2 (No. 187)
Symmetry-distinct sites (fractional):
Li1 0.0000 0.0000 0.0000 (multiplicity 1)  3 As 2.38
Ho1 0.6667 0.3333 0.5000 (multiplicity 1)  6 Li 3.09, 6 As 3.09
As1 0.3333 0.6667 0.0000 (multiplicity 1)  3 Li 2.38

---

(7)
A plane-wave DFT calculation with PBE was carried out for LiHoAs after structural relaxation.

The calculation puts the uncorrected energy at -4.49 eV/atom. As for the formation energy: -775.5 meV per atom. The total magnetic moment comes out at 0.0 μB/cell. As for the offset from the most stable computed form: 0.168 eV/atom.

a = 12.3279 Å, b = 12.3279 Å, c = 10.0071 Å
α = 90.00°, β = 90.00°, γ = 120.00°
With the nearest neighbours (Å) after each atom.
Space group R-3 (No. 148, hexagonal axes)
Symmetry-distinct sites (fractional):
Li1 0.0517 0.8370 0.4006 (multiplicity 18)  3 As 2.59-2.87
Ho1 0.0261 0.8329 0.8644 (multiplicity 18)  4 As 2.76-2.98
As1 0.0458 0.7682 0.1470 (multiplicity 18)  3 Li 2.59-2.87, 3 Ho 2.76-2.89

---

(8)
A plane-wave DFT calculation with PBE was carried out for Li2HoAsO4 after structural relaxation.

The calculation puts the uncorrected energy at -6.22 eV/atom. The total magnetic moment comes out at 0.0 μB/cell.

a = 4.4238 Å, b = 4.4238 Å, c = 9.4515 Å
α = 90.00°, β = 90.00°, γ = 90.00°
With the nearest neighbours (Å) after each atom.
Space group I-4m2 (No. 119)
Symmetry-distinct sites (fractional):
Li1 0.0000 0.0000 0.0000 (multiplicity 2)  4 O 2.21
Li2 0.0000 0.5000 0.2500 (multiplicity 2)  6 O 2.22-2.43
Ho1 0.0000 0.5000 0.7500 (multiplicity 2)  6 O 2.22-2.30
As1 0.0000 0.0000 0.5000 (multiplicity 2)  6 O 2.17-2.21
O1 0.0000 0.0000 0.2705 (multiplicity 4)  1 As 2.17, 2 Li 2.22, 2 Ho 2.22
O2 0.0000 0.5000 0.5071 (multiplicity 4)  2 As 2.21, 3 Li 2.21-2.43, 1 Ho 2.30

---

uncorrected energy of number 1 (La3Y2HoAs6)?
-6.57 eV/atom